(1)
The following is a DFT calculation (PBE) of a geometry-optimized AuC7 structure.

Unit cell a=4.725 b=4.725 c=4.725 alpha=60.00 beta=60.00 gamma=60.00
Fractional positions:
1 Au 0.000 0.000 0.000
2 C 0.000 0.000 0.500
3 C 0.000 0.500 0.000
4 C 0.000 0.500 0.500
5 C 0.500 0.000 0.000
6 C 0.500 0.000 0.500
7 C 0.500 0.500 0.000
8 C 0.500 0.500 0.500

SG: Fm-3m (225)
Fermi-level density of states (states/eV/cell): 2.6
M_tot (μB per formula unit): 0.00
Formation energy from the elements (eV/atom): 4.196

(2)
The following is a DFT calculation (PBE) of a geometry-optimized Au2C structure.

Unit cell a=4.064 b=4.064 c=4.064 alpha=60.00 beta=60.00 gamma=60.00
Fractional positions:
1 Au 0.250 0.250 0.250
2 Au 0.750 0.750 0.750
3 C 0.000 0.000 0.000

SG: Fm-3m (225)
Energy relative to the lowest polymorph listed for this composition (eV per atom): 0.794
Fermi-level density of states (states/eV/cell): 2.7
M_tot (μB per formula unit): 0.00
Formation energy from the elements (eV/atom): 1.645

(3)
The following is a DFT calculation (PBE) of a geometry-optimized AuC structure.

Unit cell a=5.621 b=5.621 c=8.431 alpha=124.85 beta=124.85 gamma=27.38
Fractional positions:
1 Au 0.000 0.000 0.000
2 Au 0.111 0.111 0.500
3 Au 0.376 0.376 0.507
4 C 0.319 0.319 0.995
5 C 0.631 0.631 0.999
6 C 0.755 0.755 0.996

SG: Cm (8)
Energy relative to the lowest polymorph listed for this composition (eV per atom): 0.737
Fermi-level density of states (states/eV/cell): 2.0
M_tot (μB per formula unit): 0.16
Formation energy from the elements (eV/atom): 1.020

(4)
The following is a DFT calculation (PBE) of a geometry-optimized Au3C5 structure.

Unit cell a=7.272 b=7.272 c=6.146 alpha=106.91 beta=106.91 gamma=67.78
Fractional positions:
1 Au 0.000 0.000 0.000
2 Au 0.071 0.676 0.191
3 Au 0.076 0.438 0.674
4 Au 0.438 0.076 0.674
5 Au 0.525 0.525 0.290
6 Au 0.676 0.071 0.191
7 C 0.207 0.826 0.796
8 C 0.218 0.626 0.670
9 C 0.294 0.679 0.496
10 C 0.311 0.869 0.657
11 C 0.626 0.218 0.670
12 C 0.656 0.656 0.155
13 C 0.679 0.294 0.496
14 C 0.754 0.754 0.119
15 C 0.826 0.207 0.796
16 C 0.869 0.311 0.657

SG: Cm (8)
Energy relative to the lowest polymorph listed for this composition (eV per atom): 0.000
Fermi-level density of states (states/eV/cell): 3.1
M_tot (μB per formula unit): 0.00
Formation energy from the elements (eV/atom): 1.236

(5)
The following is a DFT calculation (PBE) of a geometry-optimized AuC4 structure.

Unit cell a=6.150 b=6.150 c=6.150 alpha=152.48 beta=152.48 gamma=39.31
Fractional positions:
1 Au 0.000 0.000 0.000
2 C 0.183 0.183 0.000
3 C 0.250 0.750 0.500
4 C 0.750 0.250 0.500
5 C 0.817 0.817 0.000

SG: I4/mmm (139)
Energy relative to the lowest polymorph listed for this composition (eV per atom): 0.156
Fermi-level density of states (states/eV/cell): 1.7
M_tot (μB per formula unit): 0.00
Formation energy from the elements (eV/atom): 1.740

(6)
The following is a DFT calculation (PBE) of a geometry-optimized AuC3 structure.

Unit cell a=4.867 b=4.867 c=3.168 alpha=90.00 beta=90.00 gamma=113.72
Fractional positions:
1 Au 0.000 0.000 0.000
2 C 0.256 0.256 0.500
3 C 0.500 0.500 0.500
4 C 0.744 0.744 0.500

SG: Cmmm (65)
Energy relative to the lowest polymorph listed for this composition (eV per atom): 0.402
Fermi-level density of states (states/eV/cell): 1.1
M_tot (μB per formula unit): 0.00
Formation energy from the elements (eV/atom): 1.263

(7)
The following is a DFT calculation (PBE) of a geometry-optimized AuC3 structure.

Unit cell a=3.487 b=3.487 c=3.487 alpha=90.00 beta=90.00 gamma=90.00
Fractional positions:
1 Au 0.000 0.000 0.000
2 C 0.000 0.500 0.500
3 C 0.500 0.000 0.500
4 C 0.500 0.500 0.000

SG: Pm-3m (221)
Energy relative to the lowest polymorph listed for this composition (eV per atom): 2.786
Fermi-level density of states (states/eV/cell): 2.2
M_tot (μB per formula unit): 0.00
Formation energy from the elements (eV/atom): 3.647

(8)
The following is a DFT calculation (PBE) of a geometry-optimized Au2C structure.

Unit cell a=2.938 b=4.246 c=4.150 alpha=90.00 beta=110.08 gamma=90.00
Fractional positions:
1 Au 0.000 0.000 0.000
2 Au 0.274 0.500 0.530
3 C 0.304 0.000 0.590

SG: Pm (6)
Energy relative to the lowest polymorph listed for this composition (eV per atom): 0.321
Fermi-level density of states (states/eV/cell): 1.4
M_tot (μB per formula unit): 0.00
Formation energy from the elements (eV/atom): 1.171

(9)
The following is a DFT calculation (PBE) of a geometry-optimized AuC3 structure.

Unit cell a=7.144 b=7.144 c=7.144 alpha=21.54 beta=21.54 gamma=21.54
Fractional positions:
1 Au 0.000 0.000 0.000
2 C 0.205 0.205 0.205
3 C 0.500 0.500 0.500
4 C 0.795 0.795 0.795

SG: R-3m (166)
Energy relative to the lowest polymorph listed for this composition (eV per atom): 1.444
Fermi-level density of states (states/eV/cell): 0.5
M_tot (μB per formula unit): 0.00
Formation energy from the elements (eV/atom): 2.305

(10)
The following is a DFT calculation (PBE) of a geometry-optimized AuC4 structure.

Unit cell a=4.318 b=4.318 c=4.318 alpha=109.47 beta=109.47 gamma=109.47
Fractional positions:
1 Au 0.000 0.000 0.000
2 C 0.000 0.000 0.500
3 C 0.000 0.500 0.000
4 C 0.500 0.000 0.000
5 C 0.500 0.500 0.500

SG: Im-3m (229)
Energy relative to the lowest polymorph listed for this composition (eV per atom): 2.541
Fermi-level density of states (states/eV/cell): 3.7
M_tot (μB per formula unit): 0.00
Formation energy from the elements (eV/atom): 4.125

(11)
The following is a DFT calculation (PBE) of a geometry-optimized AuC3 structure.

Unit cell a=2.542 b=6.261 c=6.465 alpha=90.00 beta=90.00 gamma=90.00
Fractional positions:
1 Au 0.250 0.250 0.081
2 Au 0.750 0.750 0.919
3 C 0.250 0.548 0.528
4 C 0.250 0.750 0.638
5 C 0.250 0.952 0.528
6 C 0.750 0.048 0.472
7 C 0.750 0.250 0.362
8 C 0.750 0.452 0.472

SG: Pmmn (59)
Energy relative to the lowest polymorph listed for this composition (eV per atom): 0.000
Fermi-level density of states (states/eV/cell): 2.5
M_tot (μB per formula unit): 0.00
Formation energy from the elements (eV/atom): 0.861

(12)
The following is a DFT calculation (PBE) of a geometry-optimized AuC structure.

Unit cell a=6.300 b=6.300 c=3.156 alpha=90.00 beta=90.00 gamma=90.00
Fractional positions:
1 Au 0.160 0.160 0.000
2 Au 0.340 0.660 0.500
3 Au 0.660 0.340 0.500
4 Au 0.840 0.840 0.000
5 C 0.185 0.815 0.000
6 C 0.315 0.315 0.500
7 C 0.685 0.685 0.500
8 C 0.815 0.185 0.000

SG: P4_2/mnm (136)
Energy relative to the lowest polymorph listed for this composition (eV per atom): 1.637
Fermi-level density of states (states/eV/cell): 5.9
M_tot (μB per formula unit): 0.00
Formation energy from the elements (eV/atom): 1.920

| no. | calculated total energy (eV/atom) |
| --- | --- |
| 1 | -4.284 |
| 2 | -3.615 |
| 3 | -5.230 |
| 4 | -5.758 |
| 5 | -6.295 |
| 6 | -6.474 |
| 7 | -4.090 |
| 8 | -4.088 |
| 9 | -5.432 |
| 10 | -3.910 |
| 11 | -6.876 |
| 12 | -4.331 |